1) The following is a PBE-GGA calculation of Zr3Ni4As4 after structural relaxation, from OQMD via LeMat-Bulk.

a = 5.827 Å, b = 5.827 Å, c = 11.537 Å
α = 90.00°, β = 90.00°, γ = 90.00°
Space group I-42m (No. 121)
Inequivalent atoms, fractional coordinates:
Zr: 0.000 0.000 0.000 [2 per cell]
Zr: 0.000 0.500 0.250 [4 per cell]
Ni: 0.247 0.247 0.624 [8 per cell]
As: 0.000 0.000 0.256 [4 per cell]
As: 0.000 0.500 0.000 [4 per cell]

---

2) The following is a PBE-GGA calculation of Zr3Ni4As4 after structural relaxation, from OQMD via LeMat-Bulk.

a = 6.462 Å, b = 3.832 Å, c = 7.296 Å
α = 90.00°, β = 90.21°, γ = 90.00°
Space group Pm (No. 6)
Inequivalent atoms, fractional coordinates:
Zr: 0.000 0.000 0.000 [1 per cell]
Zr: 0.052 0.500 0.625 [1 per cell]
Zr: 0.509 0.000 0.137 [1 per cell]
Ni: 0.168 0.500 0.256 [1 per cell]
Ni: 0.386 0.000 0.757 [1 per cell]
Ni: 0.678 0.500 0.872 [1 per cell]
Ni: 0.912 0.000 0.375 [1 per cell]
As: 0.293 0.000 0.441 [1 per cell]
As: 0.299 0.500 0.938 [1 per cell]
As: 0.752 0.000 0.683 [1 per cell]
As: 0.791 0.500 0.213 [1 per cell]

---

Quick ranking, most stable first: 2), 1).

---

1) The following is a PBE-GGA calculation of As2Os2O5 after structural relaxation, from OQMD via LeMat-Bulk.

a = 3.747 Å, b = 3.747 Å, c = 7.103 Å
α = 90.00°, β = 90.00°, γ = 90.00°
Space group P4/mmm (No. 123)
Inequivalent atoms, fractional coordinates:
As: 0.000 0.000 0.000 [1 per cell]
As: 0.000 0.000 0.500 [1 per cell]
Os: 0.500 0.500 0.187 [2 per cell]
O: 0.000 0.500 0.280 [4 per cell]
O: 0.500 0.500 0.500 [1 per cell]

---

2) The following is a PBE-GGA calculation of As2Os2O5 after structural relaxation, from OQMD via LeMat-Bulk.

a = 4.062 Å, b = 4.062 Å, c = 6.372 Å
α = 90.00°, β = 90.00°, γ = 90.00°
Space group P4/mmm (No. 123)
Inequivalent atoms, fractional coordinates:
As: 0.000 0.000 0.212 [2 per cell]
Os: 0.500 0.500 0.000 [1 per cell]
Os: 0.500 0.500 0.500 [1 per cell]
O: 0.000 0.000 0.500 [1 per cell]
O: 0.000 0.500 0.197 [4 per cell]

---

Quick ranking, most stable first: 1), 2).

---

1) The following is a PBE-GGA calculation of PaAsOsO after structural relaxation, from OQMD via LeMat-Bulk.

a = 5.869 Å, b = 5.869 Å, c = 4.491 Å
α = 90.00°, β = 90.00°, γ = 90.00°
Space group P4/nmm (No. 129, origin choice 2)
Inequivalent atoms, fractional coordinates:
Pa: 0.250 0.750 0.000 [2 per cell]
As: 0.250 0.250 0.496 [2 per cell]
Os: 0.250 0.250 0.996 [2 per cell]
O: 0.250 0.750 0.500 [2 per cell]

---

2) The following is a PBE-GGA calculation of PaAsOsO after structural relaxation, from OQMD via LeMat-Bulk.

a = 4.078 Å, b = 4.078 Å, c = 7.699 Å
α = 90.00°, β = 90.00°, γ = 90.00°
Space group P4/nmm (No. 129, origin choice 2)
Inequivalent atoms, fractional coordinates:
Pa: 0.250 0.250 0.171 [2 per cell]
As: 0.250 0.250 0.680 [2 per cell]
Os: 0.250 0.750 0.500 [2 per cell]
O: 0.250 0.750 0.000 [2 per cell]

---

Quick ranking, most stable first: 1), 2).

---

1) The following is a PBE-GGA calculation of PmAsOsO after structural relaxation, from OQMD via LeMat-Bulk.

a = 4.305 Å, b = 4.305 Å, c = 7.038 Å
α = 90.00°, β = 90.00°, γ = 90.00°
Space group P4/nmm (No. 129, origin choice 2)
Inequivalent atoms, fractional coordinates:
Pm: 0.250 0.750 0.000 [2 per cell]
As: 0.250 0.250 0.293 [2 per cell]
Os: 0.250 0.250 0.639 [2 per cell]
O: 0.250 0.750 0.500 [2 per cell]

---

2) The following is a PBE-GGA calculation of PmAsOsO after structural relaxation, from OQMD via LeMat-Bulk.

a = 4.106 Å, b = 4.106 Å, c = 8.216 Å
α = 90.00°, β = 90.00°, γ = 90.00°
Space group P4/nmm (No. 129, origin choice 2)
Inequivalent atoms, fractional coordinates:
Pm: 0.250 0.250 0.137 [2 per cell]
As: 0.250 0.250 0.665 [2 per cell]
Os: 0.250 0.750 0.500 [2 per cell]
O: 0.250 0.750 0.000 [2 per cell]

---

3) The following is a PBE-GGA calculation of PmAsOsO after structural relaxation, from OQMD via LeMat-Bulk.

a = 4.258 Å, b = 4.268 Å, c = 7.383 Å
α = 90.00°, β = 90.00°, γ = 90.00°
Space group Pmc2_1 (No. 26)
Inequivalent atoms, fractional coordinates:
Pm: 0.000 0.249 0.000 [2 per cell]
As: 0.500 0.255 0.669 [2 per cell]
Os: 0.500 0.242 0.336 [2 per cell]
O: 0.000 0.256 0.333 [2 per cell]

---

Quick ranking, most stable first: 2), 3), 1).